Density functional theory data (GGA-PBE) for crystalline PuMg2Hg at its relaxed geometry.

Results
Crystal system   trigonal
Distance to the lowest polymorph of the same formula   47.0 meV/atom
E_form   0.01 eV/atom

```
data_PuMg2Hg
_symmetry_space_group_name_H-M 'R 3 m'
_symmetry_Int_Tables_number 160
_symmetry_space_group_name_Hall 'R 3 -2"'
_cell_length_a 3.2417
_cell_length_b 3.2417
_cell_length_c 31.5889
_cell_angle_alpha 90.00
_cell_angle_beta 90.00
_cell_angle_gamma 120.00
loop_
_atom_site_label
_atom_site_fract_x
_atom_site_fract_y
_atom_site_fract_z
Pu1 0.0000 0.0000 0.0000
Mg1 0.0000 0.0000 0.2439
Mg2 0.0000 0.0000 0.4237
Hg1 0.0000 0.0000 0.8337
```



Density functional theory data (GGA-PBE) for crystalline Na3As4Pd2 at its relaxed geometry.

Results
Crystal system   monoclinic
Distance to the lowest polymorph of the same formula   56.5 meV/atom
E_form   -0.32 eV/atom

```
data_Na3As4Pd2
_symmetry_space_group_name_H-M 'C 1 2/c 1'
_symmetry_Int_Tables_number 15
_cell_length_a 11.921
_cell_length_b 10.305
_cell_length_c 7.249
_cell_angle_alpha 90.00
_cell_angle_beta 108.97
_cell_angle_gamma 90.00
loop_
_symmetry_equiv_pos_as_xyz
'x,y,z'
'-x,-y,-z'
'-x,y,-z+1/2'
'x,-y,z+1/2'
'x+1/2,y+1/2,z'
'-x+1/2,-y+1/2,-z'
'-x+1/2,y+1/2,-z+1/2'
'x+1/2,-y+1/2,z+1/2'
loop_
_atom_site_label
_atom_site_fract_x
_atom_site_fract_y
_atom_site_fract_z
Na1 0.000 0.081 0.250
Na2 0.130 0.378 0.578
As1 0.141 0.310 0.166
As2 0.173 0.086 0.641
Pd1 0.203 0.125 0.002
```



Density functional theory data (GGA-PBE) for crystalline Sr2CdInPd at its relaxed geometry.

Results
Crystal system   tetragonal
E_form   -0.36 eV/atom

```
data_Sr2CdInPd
_symmetry_space_group_name_H-M 'P 4/m m m'
_symmetry_Int_Tables_number 123
_symmetry_space_group_name_Hall '-P 4 2'
_cell_length_a 5.836
_cell_length_b 5.836
_cell_length_c 5.169
_cell_angle_alpha 90.00
_cell_angle_beta 90.00
_cell_angle_gamma 90.00
loop_
_atom_site_label
_atom_site_fract_x
_atom_site_fract_y
_atom_site_fract_z
Sr1 0.000 0.500 0.000
Cd1 0.000 0.000 0.500
In1 0.500 0.500 0.500
Pd1 0.500 0.500 0.000
```



Density functional theory data (GGA-PBE) for crystalline ZrP2RuO at its relaxed geometry.

Results
Uncorrected formation energy   -0.24 eV per atom
Crystal system   tetragonal
Distance to the lowest polymorph of the same formula   0.0 meV/atom

```
data_ZrP2RuO
_symmetry_space_group_name_H-M 'P 4/m m m'
_symmetry_Int_Tables_number 123
_symmetry_space_group_name_Hall '-P 4 2'
_cell_length_a 4.781
_cell_length_b 4.781
_cell_length_c 3.657
_cell_angle_alpha 90.00
_cell_angle_beta 90.00
_cell_angle_gamma 90.00
loop_
_atom_site_label
_atom_site_fract_x
_atom_site_fract_y
_atom_site_fract_z
Zr1 0.000 0.000 0.000
P1 0.000 0.500 0.500
Ru1 0.500 0.500 0.500
O1 0.500 0.500 0.000
```



Density functional theory data (GGA-PBE) for crystalline KV2Cr at its relaxed geometry.

Results
Crystal system   tetragonal
Distance to the lowest polymorph of the same formula   56.3 meV/atom
E_form   1.53 eV/atom

```
data_KV2Cr
_symmetry_space_group_name_H-M 'I 41/a m d'
_symmetry_Int_Tables_number 141
_cell_length_a 7.068
_cell_length_b 7.068
_cell_length_c 9.326
_cell_angle_alpha 90.00
_cell_angle_beta 90.00
_cell_angle_gamma 90.00
loop_
_symmetry_equiv_pos_as_xyz
'x,y,z'
'-x,-y,-z'
'-y+1/4,x+3/4,z+1/4'
'y+1/4,-x+3/4,-z+1/4'
'-x+1/2,-y,z+1/2'
'x+1/2,y,-z+1/2'
'y+1/4,-x+1/4,z+3/4'
'-y+1/4,x+1/4,-z+3/4'
'x,-y,-z'
'-x,y,z'
'-y+1/4,-x+1/4,-z+3/4'
'y+1/4,x+1/4,z+3/4'
'-x+1/2,y,-z+1/2'
'x+1/2,-y,z+1/2'
'y+1/4,x+3/4,-z+1/4'
'-y+1/4,-x+3/4,z+1/4'
'x+1/2,y+1/2,z+1/2'
'-x+1/2,-y+1/2,-z+1/2'
'-y+3/4,x+1/4,z+3/4'
'y+3/4,-x+1/4,-z+3/4'
'-x,-y+1/2,z'
'x,y+1/2,-z'
'y+3/4,-x+3/4,z+1/4'
'-y+3/4,x+3/4,-z+1/4'
'x+1/2,-y+1/2,-z+1/2'
'-x+1/2,y+1/2,z+1/2'
'-y+3/4,-x+3/4,-z+1/4'
'y+3/4,x+3/4,z+1/4'
'-x,y+1/2,-z'
'x,-y+1/2,z'
'y+3/4,x+1/4,-z+3/4'
'-y+3/4,-x+1/4,z+3/4'
loop_
_atom_site_label
_atom_site_fract_x
_atom_site_fract_y
_atom_site_fract_z
K1 0.000 0.250 0.375
V1 0.000 0.000 0.000
Cr1 0.000 0.250 0.875
```



Density functional theory data (GGA-PBE) for crystalline Pr6NiSe5 at its relaxed geometry.

Results
Uncorrected formation energy   -1.59 eV per atom
Crystal system   monoclinic

```
data_Pr6NiSe5
_symmetry_space_group_name_H-M 'C 1 2/m 1'
_symmetry_Int_Tables_number 12
_cell_length_a 7.387
_cell_length_b 12.746
_cell_length_c 7.370
_cell_angle_alpha 90.00
_cell_angle_beta 109.62
_cell_angle_gamma 90.00
loop_
_symmetry_equiv_pos_as_xyz
'x,y,z'
'-x,-y,-z'
'-x,y,-z'
'x,-y,z'
'x+1/2,y+1/2,z'
'-x+1/2,-y+1/2,-z'
'-x+1/2,y+1/2,-z'
'x+1/2,-y+1/2,z'
loop_
_atom_site_label
_atom_site_fract_x
_atom_site_fract_y
_atom_site_fract_z
Pr1 0.238 0.160 0.239
Pr2 0.239 0.000 0.756
Ni1 0.000 0.000 0.000
Se1 0.000 0.174 0.500
Se2 0.000 0.335 0.000
Se3 0.000 0.500 0.500
```



Density functional theory data (GGA-PBE) for crystalline Rb3La2ThSe6 at its relaxed geometry.

Results
Uncorrected formation energy   -1.71 eV per atom
Crystal system   monoclinic

```
data_Rb3La2ThSe6
_symmetry_space_group_name_H-M 'C 1 2/m 1'
_symmetry_Int_Tables_number 12
_cell_length_a 7.639
_cell_length_b 13.228
_cell_length_c 8.426
_cell_angle_alpha 90.00
_cell_angle_beta 107.60
_cell_angle_gamma 90.00
loop_
_symmetry_equiv_pos_as_xyz
'x,y,z'
'-x,-y,-z'
'-x,y,-z'
'x,-y,z'
'x+1/2,y+1/2,z'
'-x+1/2,-y+1/2,-z'
'-x+1/2,y+1/2,-z'
'x+1/2,-y+1/2,z'
loop_
_atom_site_label
_atom_site_fract_x
_atom_site_fract_y
_atom_site_fract_z
Rb1 0.000 0.000 0.000
Rb2 0.000 0.331 0.000
La1 0.000 0.166 0.500
Th1 0.000 0.500 0.500
Se1 0.230 0.338 0.703
Se2 0.245 0.000 0.704
```



Density functional theory data (GGA-PBE) for crystalline Fe4TePt at its relaxed geometry.

Results
Uncorrected formation energy   0.20 eV per atom
Crystal system   cubic

```
data_Fe4TePt
_symmetry_space_group_name_H-M 'F -4 3 m'
_symmetry_Int_Tables_number 216
_symmetry_space_group_name_Hall 'F -4 2 3'
_cell_length_a 7.027
_cell_length_b 7.027
_cell_length_c 7.027
_cell_angle_alpha 90.00
_cell_angle_beta 90.00
_cell_angle_gamma 90.00
loop_
_atom_site_label
_atom_site_fract_x
_atom_site_fract_y
_atom_site_fract_z
Fe1 0.125 0.125 0.125
Te1 0.000 0.000 0.500
Pt1 0.250 0.250 0.750
```



Density functional theory data (GGA-PBE) for crystalline TlSiTc2 at its relaxed geometry.

Results
Uncorrected formation energy   0.61 eV per atom
Crystal system   monoclinic
Distance to the lowest polymorph of the same formula   474.2 meV/atom

```
data_TlSiTc2
_symmetry_space_group_name_H-M 'C 1 2/m 1'
_symmetry_Int_Tables_number 12
_cell_length_a 5.879
_cell_length_b 8.572
_cell_length_c 2.963
_cell_angle_alpha 90.00
_cell_angle_beta 116.94
_cell_angle_gamma 90.00
loop_
_symmetry_equiv_pos_as_xyz
'x,y,z'
'-x,-y,-z'
'-x,y,-z'
'x,-y,z'
'x+1/2,y+1/2,z'
'-x+1/2,-y+1/2,-z'
'-x+1/2,y+1/2,-z'
'x+1/2,-y+1/2,z'
loop_
_atom_site_label
_atom_site_fract_x
_atom_site_fract_y
_atom_site_fract_z
Tl1 0.000 0.000 0.000
Si1 0.000 0.500 0.000
Tc1 0.250 0.250 0.500
```



Density functional theory data (GGA-PBE) for crystalline Pm5In4Cu at its relaxed geometry.

Results
Crystal system   tetragonal
E_form   -0.43 eV/atom

```
data_Pm5In4Cu
_symmetry_space_group_name_H-M 'P 4/m m m'
_symmetry_Int_Tables_number 123
_symmetry_space_group_name_Hall '-P 4 2'
_cell_length_a 3.632
_cell_length_b 3.632
_cell_length_c 20.765
_cell_angle_alpha 90.00
_cell_angle_beta 90.00
_cell_angle_gamma 90.00
loop_
_atom_site_label
_atom_site_fract_x
_atom_site_fract_y
_atom_site_fract_z
Pm1 0.000 0.000 0.000
Pm2 0.000 0.000 0.207
Pm3 0.000 0.000 0.415
In1 0.500 0.500 0.104
In2 0.500 0.500 0.312
Cu1 0.500 0.500 0.500
```



Density functional theory data (GGA-PBE) for crystalline Hf5Pt3 at its relaxed geometry.

Results
Crystal system   tetragonal
E_form   -0.82 eV/atom

```
data_Hf5Pt3
_symmetry_space_group_name_H-M 'I 4/m c m'
_symmetry_Int_Tables_number 140
_symmetry_space_group_name_Hall '-I 4 2c'
_cell_length_a 6.812
_cell_length_b 6.812
_cell_length_c 13.686
_cell_angle_alpha 90.00
_cell_angle_beta 90.00
_cell_angle_gamma 90.00
loop_
_atom_site_label
_atom_site_fract_x
_atom_site_fract_y
_atom_site_fract_z
Hf1 0.000 0.000 0.000
Hf2 0.163 0.337 0.156
Pt1 0.000 0.000 0.250
Pt2 0.139 0.361 0.500
```



Density functional theory data (GGA-PBE) for crystalline La2BeGe4Pd3 at its relaxed geometry.

Results
Crystal system   tetragonal
E_form   -0.74 eV/atom

```
data_La2BeGe4Pd3
_symmetry_space_group_name_H-M 'P -4 m 2'
_symmetry_Int_Tables_number 115
_cell_length_a 4.332
_cell_length_b 4.332
_cell_length_c 10.281
_cell_angle_alpha 90.00
_cell_angle_beta 90.00
_cell_angle_gamma 90.00
loop_
_symmetry_equiv_pos_as_xyz
'x,y,z'
'y,-x,-z'
'-x,-y,z'
'-y,x,-z'
'-x,y,z'
'-y,-x,-z'
'x,-y,z'
'y,x,-z'
loop_
_atom_site_label
_atom_site_fract_x
_atom_site_fract_y
_atom_site_fract_z
La1 0.000 0.500 0.246
Be1 0.500 0.500 0.000
Ge1 0.000 0.000 0.500
Ge2 0.000 0.500 0.875
Ge3 0.500 0.500 0.500
Pd1 0.000 0.000 0.000
Pd2 0.000 0.500 0.630
```



Density functional theory data (GGA-PBE) for crystalline TlAsPd2 at its relaxed geometry.

Results
Crystal system   tetragonal
E_form   -0.08 eV/atom

```
data_TlAsPd2
_symmetry_space_group_name_H-M 'I -4 2 d'
_symmetry_Int_Tables_number 122
_symmetry_space_group_name_Hall 'I -4 2bw'
_cell_length_a 4.578
_cell_length_b 4.578
_cell_length_c 16.459
_cell_angle_alpha 90.00
_cell_angle_beta 90.00
_cell_angle_gamma 90.00
loop_
_atom_site_label
_atom_site_fract_x
_atom_site_fract_y
_atom_site_fract_z
Tl1 0.000 0.000 0.000
As1 0.000 0.000 0.500
Pd1 0.175 0.250 0.625
```



Density functional theory data (GGA-PBE) for crystalline SiBH2 at its relaxed geometry.

Results
Crystal system   cubic
Distance to the lowest polymorph of the same formula   948.8 meV/atom

```
data_SiBH2
_symmetry_space_group_name_H-M 'F m -3 m'
_symmetry_Int_Tables_number 225
_symmetry_space_group_name_Hall '-F 4 2 3'
_cell_length_a 4.690
_cell_length_b 4.690
_cell_length_c 4.690
_cell_angle_alpha 90.00
_cell_angle_beta 90.00
_cell_angle_gamma 90.00
loop_
_atom_site_label
_atom_site_fract_x
_atom_site_fract_y
_atom_site_fract_z
Si1 0.000 0.000 0.000
B1 0.000 0.000 0.500
H1 0.250 0.250 0.250
```



Density functional theory data (GGA-PBE) for crystalline Mn3Cu2Pd3 at its relaxed geometry.

Results
Crystal system   orthorhombic
E_form   -0.09 eV/atom

```
data_Mn3Cu2Pd3
_symmetry_space_group_name_H-M 'P m m m'
_symmetry_Int_Tables_number 47
_cell_length_a 3.822
_cell_length_b 3.978
_cell_length_c 7.591
_cell_angle_alpha 90.00
_cell_angle_beta 90.00
_cell_angle_gamma 90.00
loop_
_symmetry_equiv_pos_as_xyz
'x,y,z'
'-x,-y,-z'
'-x,-y,z'
'x,y,-z'
'x,-y,-z'
'-x,y,z'
'-x,y,-z'
'x,-y,z'
loop_
_atom_site_label
_atom_site_fract_x
_atom_site_fract_y
_atom_site_fract_z
Mn1 0.000 0.000 0.000
Mn2 0.000 0.500 0.260
Cu1 0.500 0.000 0.249
Pd1 0.000 0.000 0.500
Pd2 0.500 0.500 0.000
Pd3 0.500 0.500 0.500
```



Density functional theory data (GGA-PBE) for crystalline DyFeNiP2 at its relaxed geometry.

Results
Crystal system   tetragonal
E_form   -0.96 eV/atom

```
data_DyFeNiP2
_symmetry_space_group_name_H-M 'I -4 m 2'
_symmetry_Int_Tables_number 119
_symmetry_space_group_name_Hall 'I -4 -2'
_cell_length_a 3.849
_cell_length_b 3.849
_cell_length_c 9.517
_cell_angle_alpha 90.00
_cell_angle_beta 90.00
_cell_angle_gamma 90.00
loop_
_atom_site_label
_atom_site_fract_x
_atom_site_fract_y
_atom_site_fract_z
Dy1 0.000 0.000 0.000
Fe1 0.000 0.500 0.250
Ni1 0.000 0.500 0.750
P1 0.000 0.000 0.374
```



Density functional theory data (GGA-PBE) for crystalline Dy3AgPt2 at its relaxed geometry.

Results
Crystal system   orthorhombic
E_form   -0.93 eV/atom

```
data_Dy3AgPt2
_symmetry_space_group_name_H-M 'C m m m'
_symmetry_Int_Tables_number 65
_symmetry_space_group_name_Hall '-C 2 2'
_cell_length_a 4.999
_cell_length_b 14.854
_cell_length_c 3.562
_cell_angle_alpha 90.00
_cell_angle_beta 90.00
_cell_angle_gamma 90.00
loop_
_atom_site_label
_atom_site_fract_x
_atom_site_fract_y
_atom_site_fract_z
Dy1 0.000 0.000 0.000
Dy2 0.000 0.327 0.000
Ag1 0.000 0.500 0.500
Pt1 0.000 0.162 0.500
```



Density functional theory data (GGA-PBE) for crystalline PaI2Cl6 at its relaxed geometry.

Results
Uncorrected formation energy   -1.22 eV per atom
Crystal system   monoclinic

```
data_PaI2Cl6
_symmetry_space_group_name_H-M 'C 1 2/m 1'
_symmetry_Int_Tables_number 12
_cell_length_a 10.935
_cell_length_b 10.338
_cell_length_c 7.082
_cell_angle_alpha 90.00
_cell_angle_beta 105.76
_cell_angle_gamma 90.00
loop_
_symmetry_equiv_pos_as_xyz
'x,y,z'
'-x,-y,-z'
'-x,y,-z'
'x,-y,z'
'x+1/2,y+1/2,z'
'-x+1/2,-y+1/2,-z'
'-x+1/2,y+1/2,-z'
'x+1/2,-y+1/2,z'
loop_
_atom_site_label
_atom_site_fract_x
_atom_site_fract_y
_atom_site_fract_z
Pa1 0.000 0.000 0.000
I1 0.088 0.500 0.674
Cl1 0.080 0.173 0.258
Cl2 0.222 0.000 0.926
```



Density functional theory data (GGA-PBE) for crystalline LiNd2BPd6 at its relaxed geometry.

Results
Crystal system   monoclinic
E_form   -0.61 eV/atom

```
data_LiNd2BPd6
_symmetry_space_group_name_H-M 'C 1 2/m 1'
_symmetry_Int_Tables_number 12
_cell_length_a 10.040
_cell_length_b 5.794
_cell_length_c 7.050
_cell_angle_alpha 90.00
_cell_angle_beta 118.25
_cell_angle_gamma 90.00
loop_
_symmetry_equiv_pos_as_xyz
'x,y,z'
'-x,-y,-z'
'-x,y,-z'
'x,-y,z'
'x+1/2,y+1/2,z'
'-x+1/2,-y+1/2,-z'
'-x+1/2,y+1/2,-z'
'x+1/2,-y+1/2,z'
loop_
_atom_site_label
_atom_site_fract_x
_atom_site_fract_y
_atom_site_fract_z
Li1 0.000 0.000 0.000
Nd1 0.225 0.500 0.175
B1 0.000 0.500 0.500
Pd1 0.021 0.244 0.305
Pd2 0.235 0.500 0.695
```



Density functional theory data (GGA-PBE) for crystalline GdHfCuRh at its relaxed geometry.

Results
Crystal system   cubic
E_form   -0.42 eV/atom

```
data_GdHfCuRh
_symmetry_space_group_name_H-M 'F -4 3 m'
_symmetry_Int_Tables_number 216
_symmetry_space_group_name_Hall 'F -4 2 3'
_cell_length_a 6.742
_cell_length_b 6.742
_cell_length_c 6.742
_cell_angle_alpha 90.00
_cell_angle_beta 90.00
_cell_angle_gamma 90.00
loop_
_atom_site_label
_atom_site_fract_x
_atom_site_fract_y
_atom_site_fract_z
Gd1 0.000 0.000 0.000
Hf1 0.000 0.000 0.500
Cu1 0.250 0.250 0.750
Rh1 0.250 0.250 0.250
```